No. 1
This record from Alexandria via LeMat-Bulk describes crystalline Cs2SiH4N2 at its relaxed geometry. The functional is PBE.

The total DFT energy (no corrections) is -0.160 Ha/atom.

Cell lengths 5.084, 6.424, 6.575 Å; angles 117.14, 97.22, 93.07 degrees
Atoms (fractional coordinates):
Cs: 0.222 0.384 0.229
Cs: 0.778 0.616 0.771
Si: 0.000 0.000 0.500
H: 0.177 0.876 0.625
H: 0.367 0.225 0.741
H: 0.633 0.775 0.259
H: 0.823 0.124 0.375
N: 0.210 0.262 0.652
N: 0.790 0.738 0.348

No. 2
This record from Alexandria via LeMat-Bulk describes crystalline CsSn2H6N2 at its relaxed geometry. The functional is PBE.

The total DFT energy (no corrections) is -0.163 Ha/atom.

Cell lengths 9.837, 9.837, 9.837 Å; angles 28.76, 28.76, 28.76 degrees
Atoms (fractional coordinates):
Cs: 0.000 0.000 0.000
Sn: 0.182 0.182 0.182
Sn: 0.818 0.818 0.818
H: 0.191 0.521 0.521
H: 0.479 0.479 0.809
H: 0.479 0.809 0.479
H: 0.521 0.191 0.521
H: 0.521 0.521 0.191
H: 0.809 0.479 0.479
N: 0.395 0.395 0.395
N: 0.605 0.605 0.605

No. 3
This record from Alexandria via LeMat-Bulk describes crystalline CsTeH6N2 at its relaxed geometry. The functional is PBE.

The total DFT energy (no corrections) is -0.166 Ha/atom.

Cell lengths 7.435, 7.435, 6.007 Å; angles 97.17, 97.17, 83.46 degrees
Atoms (fractional coordinates):
Cs: 0.169 0.831 0.750
Cs: 0.831 0.169 0.250
Te: 0.454 0.546 0.250
Te: 0.546 0.454 0.750
H: 0.043 0.655 0.180
H: 0.151 0.275 0.714
H: 0.158 0.369 0.972
H: 0.275 0.151 0.214
H: 0.345 0.957 0.320
H: 0.369 0.158 0.472
H: 0.631 0.842 0.528
H: 0.655 0.043 0.680
H: 0.725 0.849 0.786
H: 0.842 0.631 0.028
H: 0.849 0.725 0.286
H: 0.957 0.345 0.820
N: 0.086 0.281 0.857
N: 0.281 0.086 0.357
N: 0.719 0.914 0.643
N: 0.914 0.719 0.143

No. 4
This record from Alexandria via LeMat-Bulk describes crystalline CsZrH2N at its relaxed geometry. The functional is PBE.

The total DFT energy (no corrections) is -0.150 Ha/atom.

Cell lengths 5.677, 5.677, 3.893 Å; angles 90.00, 90.00, 90.00 degrees
Atoms (fractional coordinates):
Cs: 0.000 0.000 0.000
Zr: 0.500 0.500 0.000
H: 0.000 0.500 0.500
H: 0.500 0.000 0.500
N: 0.500 0.500 0.500

No. 5
This record from Alexandria via LeMat-Bulk describes crystalline Cs2NaH at its relaxed geometry. The functional is PBE.

The calculation puts the polymorph energy (0 for the lowest one) at 37 meV per atom.

Cell lengths 4.158, 4.158, 10.525 Å; angles 90.00, 90.00, 90.00 degrees
Atoms (fractional coordinates):
Cs: 0.000 0.000 0.182
Cs: 0.000 0.000 0.818
Na: 0.500 0.500 0.500
H: 0.500 0.500 0.000

No. 6
This record from Alexandria via LeMat-Bulk describes crystalline CsNa3H at its relaxed geometry. The functional is PBE.

The calculation puts the polymorph energy (0 for the lowest one) at 676 meV per atom.

Cell lengths 7.798, 7.798, 7.798 Å; angles 90.00, 90.00, 90.00 degrees
Atoms (fractional coordinates):
Cs: 0.000 0.000 0.000
Na: 0.000 0.000 0.500
Na: 0.000 0.500 0.000
Na: 0.500 0.000 0.000
H: 0.500 0.500 0.500

No. 7
This record from Alexandria via LeMat-Bulk describes crystalline Cs2NaH at its relaxed geometry. The functional is PBE.

The calculation puts the polymorph energy (0 for the lowest one) at 40 meV per atom.

Cell lengths 12.163, 12.163, 12.163 Å; angles 21.16, 21.16, 21.16 degrees
Atoms (fractional coordinates):
Cs: 0.115 0.115 0.115
Cs: 0.885 0.885 0.885
Na: 0.000 0.000 0.000
H: 0.500 0.500 0.500

No. 8
This record from Alexandria via LeMat-Bulk describes crystalline CsNaH4 at its relaxed geometry. The functional is PBE.

The total DFT energy (no corrections) is -0.097 Ha/atom.

Cell lengths 8.250, 8.250, 5.078 Å; angles 92.55, 92.55, 52.32 degrees
Atoms (fractional coordinates):
Cs: 0.170 0.170 0.212
Cs: 0.830 0.830 0.788
Na: 0.417 0.417 0.825
Na: 0.583 0.583 0.175
H: 0.005 0.900 0.283
H: 0.100 0.995 0.717
H: 0.279 0.279 0.724
H: 0.281 0.719 0.000
H: 0.719 0.281 0.000
H: 0.721 0.721 0.276
H: 0.900 0.005 0.283
H: 0.995 0.100 0.717

No. 9
This record from Alexandria via LeMat-Bulk describes crystalline Cs2NaH2 at its relaxed geometry. The functional is PBE.

The calculation puts the polymorph energy (0 for the lowest one) at 79 meV per atom.

Cell lengths 8.049, 8.049, 8.049 Å; angles 139.27, 139.27, 58.96 degrees
Atoms (fractional coordinates):
Cs: 0.174 0.174 0.000
Cs: 0.826 0.826 0.000
Na: 0.500 0.500 0.000
H: 0.250 0.750 0.500
H: 0.750 0.250 0.500

No. 10
This record from Alexandria via LeMat-Bulk describes crystalline CsNaH2 at its relaxed geometry. The functional is PBE.

The total DFT energy (no corrections) is -0.085 Ha/atom.

Cell lengths 7.067, 7.067, 7.067 Å; angles 32.08, 32.08, 32.08 degrees
Atoms (fractional coordinates):
Cs: 0.000 0.000 0.000
Na: 0.500 0.500 0.500
H: 0.232 0.232 0.232
H: 0.768 0.768 0.768

No. 11
This record from Alexandria via LeMat-Bulk describes crystalline Cs2NaH at its relaxed geometry. The functional is PBE.

The calculation puts the polymorph energy (0 for the lowest one) at 205 meV per atom.

Cell lengths 6.608, 6.608, 6.608 Å; angles 60.00, 60.00, 60.00 degrees
Atoms (fractional coordinates):
Cs: 0.250 0.250 0.250
Cs: 0.750 0.750 0.750
Na: 0.000 0.000 0.000
H: 0.500 0.500 0.500

No. 12
This record from Alexandria via LeMat-Bulk describes crystalline CsNa2H3 at its relaxed geometry. The functional is PBE.

The calculation puts the polymorph energy (0 for the lowest one) at 0 meV per atom.

Cell lengths 4.169, 11.857, 4.745 Å; angles 90.00, 90.00, 90.00 degrees
Atoms (fractional coordinates):
Cs: 0.250 0.250 0.249
Cs: 0.750 0.750 0.751
Na: 0.250 0.560 0.250
Na: 0.250 0.940 0.250
Na: 0.750 0.060 0.750
Na: 0.750 0.440 0.750
H: 0.250 0.528 0.750
H: 0.250 0.750 0.251
H: 0.250 0.972 0.750
H: 0.750 0.028 0.250
H: 0.750 0.250 0.749
H: 0.750 0.472 0.250

Here are the calculated calculated density numbers, same order: 2.88 3.45 3.01 3.18 2.64 0.71 2.34 1.94 2.20 2.96 2.36 2.58 (Mg/m³).